Material: Co2MoOs
Method: DFT, PBE
State: relaxed

extended XYZ file:
```
4
Lattice="0.000 2.632 3.729 2.629 0.000 3.729 2.629 2.632 0.000" Properties=species:S:1:pos:R:3 pbc="T T T"
Co 0.000 0.000 0.000
Co 1.314 1.316 1.864
Mo 2.629 2.632 3.729
Os 3.943 3.948 5.593
```

Its formation energy is 56 meV per atom. Its volume is 12.90 Å³/atom. The total DFT energy (no corrections) is -9.01 eV/atom. As for the distance to the lowest polymorph of the same formula: 58 meV per atom. The density of states at the Fermi level comes out at 4.3 states/eV/f.u.

Material: LiPtI
Method: DFT, PBE
State: relaxed

extended XYZ file:
```
6
Lattice="4.010 -1.916 0.000 4.010 1.916 0.000 -0.427 0.000 9.840" Properties=species:S:1:pos:R:3 pbc="T T T"
Li 0.000 0.000 0.000
Li 1.495 0.000 3.589
Pt 1.865 0.000 8.395
Pt 4.337 0.000 7.652
I 3.976 0.000 2.257
I 7.628 0.000 5.806
```

Its volume is 25.20 Å³/atom. The total DFT energy (no corrections) is -3.50 eV/atom. As for the distance to the lowest polymorph of the same formula: 245 meV per atom. Its uncorrected formation energy is -0.336 eV/atom. The density of states at the Fermi level comes out at 0.8 states/eV/f.u.

Material: LiYZr2
Method: DFT, PBE
State: relaxed

extended XYZ file:
```
4
Lattice="3.313 0.000 0.000 0.000 3.313 0.000 0.000 0.000 8.716" Properties=species:S:1:pos:R:3 pbc="T T T"
Li 0.000 0.000 0.000
Y 1.657 1.657 2.245
Zr 0.000 0.000 4.630
Zr 1.657 1.657 6.710
```

Its formation energy is 123 meV per atom. Its volume is 23.92 Å³/atom. The total DFT energy (no corrections) is -6.25 eV/atom. As for the distance to the lowest polymorph of the same formula: 5 meV per atom. The density of states at the Fermi level comes out at 5.6 states/eV/f.u.

Material: YSbW2
Method: DFT, PBE
State: relaxed

extended XYZ file:
```
4
Lattice="1.601 0.924 9.245 -1.601 0.924 9.245 0.000 -1.849 9.245" Properties=species:S:1:pos:R:3 pbc="T T T"
Y 0.000 0.000 0.000
Sb 0.000 0.000 13.868
W 0.000 0.000 6.725
W 0.000 0.000 21.011
```

Its volume is 20.53 Å³/atom. The total DFT energy (no corrections) is -8.33 eV/atom. Its uncorrected formation energy is 0.798 eV/atom. The density of states at the Fermi level comes out at 4.2 states/eV/f.u.

Material: BaTi2CdPd
Method: DFT, PBE
State: relaxed

extended XYZ file:
```
5
Lattice="5.031 0.000 0.000 0.000 5.031 0.000 0.000 0.000 6.269" Properties=species:S:1:pos:R:3 pbc="T T T"
Ba 0.000 0.000 0.000
Ti 0.000 2.516 3.135
Ti 2.516 0.000 3.135
Cd 0.000 0.000 3.135
Pd 2.516 2.516 0.000
```

Its formation energy is 1110 meV per atom. Its volume is 31.74 Å³/atom. The total DFT energy (no corrections) is -3.65 eV/atom. The density of states at the Fermi level comes out at 8.7 states/eV/f.u.

Material: NbI3Br
Method: DFT, PBE
State: relaxed

extended XYZ file:
```
5
Lattice="5.528 0.000 0.000 0.000 5.528 0.000 0.000 0.000 5.528" Properties=species:S:1:pos:R:3 pbc="T T T"
Nb 0.000 0.000 0.000
I 0.000 0.000 2.764
I 0.000 2.764 0.000
I 2.764 0.000 0.000
Br 2.764 2.764 2.764
```

Its volume is 33.79 Å³/atom. The total DFT energy (no corrections) is -3.33 eV/atom. As for the distance to the lowest polymorph of the same formula: 444 meV per atom. Its uncorrected formation energy is -0.055 eV/atom. The density of states at the Fermi level comes out at 2.7 states/eV/f.u.

Material: LaY4Tm
Method: DFT, PBE
State: relaxed

extended XYZ file:
```
6
Lattice="4.543 0.000 0.000 0.000 4.543 0.000 0.000 0.000 11.229" Properties=species:S:1:pos:R:3 pbc="T T T"
La 0.000 0.000 0.000
Y 0.000 2.272 2.908
Y 0.000 2.272 8.321
Y 2.272 0.000 2.908
Y 2.272 0.000 8.321
Tm 2.272 2.272 5.615
```

Its formation energy is 655 meV per atom. Its volume is 38.63 Å³/atom. The total DFT energy (no corrections) is -5.22 eV/atom. As for the distance to the lowest polymorph of the same formula: 608 meV per atom. The density of states at the Fermi level comes out at 12.7 states/eV/f.u.

Material: CsK2Ba
Method: DFT, PBE
State: relaxed

extended XYZ file:
```
4
Lattice="0.000 5.401 5.401 5.401 0.000 5.401 5.401 5.401 0.000" Properties=species:S:1:pos:R:3 pbc="T T T"
Cs 0.000 0.000 0.000
K 2.700 2.700 2.700
K 8.101 8.101 8.101
Ba 5.401 5.401 5.401
```

Its formation energy is 126 meV per atom. Its volume is 78.78 Å³/atom. The total DFT energy (no corrections) is -1.12 eV/atom. As for the distance to the lowest polymorph of the same formula: 48 meV per atom. The density of states at the Fermi level comes out at 5.9 states/eV/f.u.

Material: Ba3In
Method: DFT, PBE
State: relaxed

extended XYZ file:
```
4
Lattice="-2.218 3.225 7.008 2.218 -3.225 7.008 2.218 3.225 -7.008" Properties=species:S:1:pos:R:3 pbc="T T T"
Ba 0.000 0.000 0.000
Ba 2.218 0.000 4.214
Ba 0.000 3.225 2.794
In 0.000 0.000 7.008
```

Its formation energy is -185 meV per atom. Its volume is 50.13 Å³/atom. The total DFT energy (no corrections) is -2.31 eV/atom. The density of states at the Fermi level comes out at 5.1 states/eV/f.u.

Material: Ni2Pt8Au
Method: DFT, PBE
State: relaxed

extended XYZ file:
```
11
Lattice="7.085 -1.957 0.000 7.085 1.957 0.000 -1.710 0.000 6.017" Properties=species:S:1:pos:R:3 pbc="T T T"
Ni 2.986 0.000 0.831
Ni 9.474 0.000 5.186
Pt 0.316 0.000 1.339
Pt 0.850 0.000 4.237
Pt 3.479 0.000 3.515
Pt 5.610 0.000 0.221
Pt 6.850 0.000 5.796
Pt 8.982 0.000 2.502
Pt 11.610 0.000 1.781
Pt 12.145 0.000 4.678
Au 6.230 0.000 3.009
```

Its formation energy is -15 meV per atom. Its volume is 15.17 Å³/atom. The total DFT energy (no corrections) is -5.76 eV/atom. The density of states at the Fermi level comes out at 17.4 states/eV/f.u.

Material: SmTm7Mg2
Method: DFT, PBE
State: relaxed

extended XYZ file:
```
10
Lattice="4.364 -8.094 0.000 4.364 8.094 0.000 0.000 0.000 5.213" Properties=species:S:1:pos:R:3 pbc="T T T"
Sm 0.000 0.000 0.000
Tm 1.584 1.829 2.607
Tm 4.364 4.696 0.000
Tm 1.584 -1.829 2.607
Tm 4.364 0.000 2.607
Tm 7.144 1.829 2.607
Tm 4.364 -4.696 0.000
Tm 7.144 -1.829 2.607
Mg 4.364 3.247 2.607
Mg 4.364 -3.247 2.607
```

Its formation energy is 602 meV per atom. Its volume is 36.83 Å³/atom. The total DFT energy (no corrections) is -3.32 eV/atom. The density of states at the Fermi level comes out at 19.3 states/eV/f.u.

Material: SrTcN3
Method: DFT, PBE
State: relaxed

extended XYZ file:
```
5
Lattice="4.219 0.000 0.000 0.000 4.219 0.000 0.000 0.000 4.219" Properties=species:S:1:pos:R:3 pbc="T T T"
Sr 0.000 0.000 0.000
Tc 2.109 2.109 2.109
N 0.000 0.000 2.109
N 0.000 2.109 0.000
N 2.109 0.000 0.000
```

Its volume is 15.02 Å³/atom. The total DFT energy (no corrections) is -4.42 eV/atom. Its uncorrected formation energy is 2.987 eV/atom. The density of states at the Fermi level comes out at 7.6 states/eV/f.u.